The following is a PBE with a Hubbard U calculation of an optimized crystal structure of WAuI2F, from Alexandria via LeMat-Bulk.

Calculated values
Fermi-level density of states ... 0.370 states/eV/atom
Calculated volume ... 28.64 A^3/atom
Total magnetic moment ... 0.768 μB/atom
Final energy ... -2.89 eV per atom
Space-group type ... No. 123

```
data_WAuI2F
_chemical_formula_sum 'W1 Au1 I2 F1'
_cell_length_a 5.899
_cell_length_b 5.899
_cell_length_c 4.115
_cell_angle_alpha 90.00
_cell_angle_beta 90.00
_cell_angle_gamma 90.00
_space_group_name_H-M_alt 'P 1'
_space_group_IT_number 1
loop_
_space_group_symop_operation_xyz
'x,y,z'
loop_
_atom_site_label
_atom_site_fract_x
_atom_site_fract_y
_atom_site_fract_z
I1 0.000 0.500 0.000
I2 0.500 0.000 0.000
Au1 0.500 0.500 0.500
W1 0.000 0.000 0.500
F1 0.000 0.000 0.000
```